# 1
A plane-wave DFT calculation with PBE-GGA was carried out for a relaxed structure of Zn2CdHg2.

Polymorph energy (0 for the lowest one) ... 0.10 eV per formula unit
ΔH_f (0 K) ... 11.1 kJ per mole of atoms
M_tot ... 0.000 μB per formula unit

Unit cell a=3.807 b=3.807 c=15.227 alpha=90.00 beta=90.00 gamma=90.00
Space group I4/mmm (No. 139)
Symmetry-distinct sites (fractional):
Zn (0.000, 0.500, 0.250) [4 per cell]
Cd (0.000, 0.000, 0.000) [2 per cell]
Hg (0.000, 0.000, 0.394) [4 per cell]


# 2
A plane-wave DFT calculation with PBE-GGA was carried out for a relaxed structure of HfInTe2.

Uncorrected formation energy ... -0.54 eV per atom
M_tot ... 0.000 μB per formula unit

Unit cell a=3.9253 b=3.9253 c=26.9078 alpha=90.00 beta=90.00 gamma=120.00
Space group R3m (No. 160, hexagonal axes)
Symmetry-distinct sites (fractional):
Hf (0.0000, 0.0000, 0.0000) [3 per cell]
In (0.0000, 0.0000, 0.8371) [3 per cell]
Te (0.0000, 0.0000, 0.4003) [3 per cell]
Te (0.0000, 0.0000, 0.5992) [3 per cell]


# 3
A plane-wave DFT calculation with PBE-GGA was carried out for a relaxed structure of Fe2HgPd6.

ΔH_f (0 K) ... 3.9 kJ per mole of atoms
M_tot ... 7.826 μB per formula unit

Unit cell a=13.886 b=9.898 c=4.234 alpha=90.00 beta=90.00 gamma=90.00
Space group Cmcm (No. 63)
Symmetry-distinct sites (fractional):
Fe (0.217, 0.073, 0.250) [8 per cell]
Hg (0.000, 0.266, 0.250) [4 per cell]
Pd (0.097, 0.415, 0.750) [8 per cell]
Pd (0.099, 0.119, 0.750) [8 per cell]
Pd (0.201, 0.323, 0.250) [8 per cell]


# 4
A plane-wave DFT calculation with PBE-GGA was carried out for a relaxed structure of K2TlPbO4.

Uncorrected formation energy ... -1.09 eV per atom
M_tot ... 0.000 μB per formula unit

Unit cell a=6.171 b=3.578 c=6.535 alpha=90.00 beta=108.57 gamma=90.00
Space group P2/m (No. 10)
Symmetry-distinct sites (fractional):
K (0.000, 0.000, 0.000) [1 per cell]
K (0.500, 0.500, 0.000) [1 per cell]
Tl (0.000, 0.500, 0.500) [1 per cell]
Pb (0.500, 0.000, 0.500) [1 per cell]
O (0.230, 0.000, 0.695) [2 per cell]
O (0.270, 0.500, 0.305) [2 per cell]


# 5
A plane-wave DFT calculation with PBE-GGA was carried out for a relaxed structure of K2NaUSe4.

Uncorrected formation energy ... -1.22 eV per atom
M_tot ... 1.000 μB per formula unit

Unit cell a=7.442 b=4.297 c=7.932 alpha=90.00 beta=107.63 gamma=90.00
Space group P2/m (No. 10)
Symmetry-distinct sites (fractional):
K (0.000, 0.000, 0.000) [1 per cell]
K (0.500, 0.500, 0.000) [1 per cell]
Na (0.000, 0.500, 0.500) [1 per cell]
U (0.500, 0.000, 0.500) [1 per cell]
Se (0.269, 0.000, 0.703) [2 per cell]
Se (0.287, 0.500, 0.299) [2 per cell]


# 6
A plane-wave DFT calculation with PBE-GGA was carried out for a relaxed structure of Pm4DyTh3.

ΔH_f (0 K) ... 3.4 kJ per mole of atoms
M_tot ... 0.000 μB per formula unit

Unit cell a=5.084 b=10.183 c=10.270 alpha=90.00 beta=90.00 gamma=90.00
Space group Pmmn (No. 59, origin choice 2)
Symmetry-distinct sites (fractional):
Pm (0.250, 0.001, 0.133) [4 per cell]
Pm (0.250, 0.250, 0.870) [2 per cell]
Pm (0.250, 0.750, 0.864) [2 per cell]
Dy (0.250, 0.750, 0.381) [2 per cell]
Th (0.250, 0.250, 0.380) [2 per cell]
Th (0.250, 0.502, 0.619) [4 per cell]


# 7
A plane-wave DFT calculation with PBE-GGA was carried out for a relaxed structure of Ho2ErTh2.

Polymorph energy (0 for the lowest one) ... 0.00 eV per formula unit
ΔH_f (0 K) ... 2.8 kJ per mole of atoms
M_tot ... 0.000 μB per formula unit

Unit cell a=14.526 b=7.092 c=6.170 alpha=90.00 beta=98.22 gamma=90.00
Space group P2_1/c (No. 14)
Symmetry-distinct sites (fractional):
Ho (0.099, 0.124, 0.449) [4 per cell]
Ho (0.304, 0.122, 0.852) [4 per cell]
Er (0.302, 0.627, 0.850) [4 per cell]
Th (0.099, 0.629, 0.451) [4 per cell]
Th (0.500, 0.124, 0.253) [4 per cell]


# 8
A plane-wave DFT calculation with PBE-GGA was carried out for a relaxed structure of LaDy2MoN4.

Uncorrected formation energy ... -1.17 eV per atom
M_tot ... 0.000 μB per formula unit

Unit cell a=3.453 b=11.957 c=11.952 alpha=90.00 beta=90.00 gamma=90.00
Space group Cmcm (No. 63)
Symmetry-distinct sites (fractional):
La (0.000, 0.087, 0.250) [4 per cell]
Dy (0.000, 0.371, 0.040) [8 per cell]
Mo (0.000, 0.171, 0.750) [4 per cell]
N (0.000, 0.000, 0.000) [4 per cell]
N (0.000, 0.263, 0.619) [8 per cell]
N (0.000, 0.430, 0.250) [4 per cell]


# 9
A plane-wave DFT calculation with PBE-GGA was carried out for a relaxed structure of Cr2CoIr2.

Polymorph energy (0 for the lowest one) ... 1.39 eV per formula unit
ΔH_f (0 K) ... 39.9 kJ per mole of atoms
M_tot ... 0.000 μB per formula unit

Unit cell a=3.148 b=3.148 c=13.544 alpha=90.00 beta=90.00 gamma=90.00
Space group I4/mmm (No. 139)
Symmetry-distinct sites (fractional):
Cr (0.000, 0.500, 0.250) [4 per cell]
Co (0.000, 0.000, 0.000) [2 per cell]
Ir (0.000, 0.000, 0.402) [4 per cell]


# 10
A plane-wave DFT calculation with PBE-GGA was carried out for a relaxed structure of TlTcCl2.

Polymorph energy (0 for the lowest one) ... 1.39 eV per formula unit
Uncorrected formation energy ... 0.18 eV per atom
M_tot ... 0.000 μB per formula unit

Unit cell a=6.195 b=6.195 c=12.027 alpha=90.00 beta=90.00 gamma=90.00
Space group I-42d (No. 122)
Symmetry-distinct sites (fractional):
Tl (0.000, 0.000, 0.000) [4 per cell]
Tc (0.000, 0.000, 0.500) [4 per cell]
Cl (0.136, 0.250, 0.625) [8 per cell]


# 11
A plane-wave DFT calculation with PBE-GGA was carried out for a relaxed structure of CePuGe.

Polymorph energy (0 for the lowest one) ... 0.00 eV per formula unit
ΔH_f (0 K) ... -26.2 kJ per mole of atoms
M_tot ... 6.493 μB per formula unit

Unit cell a=4.9116 b=4.9116 c=3.2065 alpha=90.00 beta=90.00 gamma=120.00
Space group P-6m2 (No. 187)
Symmetry-distinct sites (fractional):
Ce (0.0000, 0.0000, 0.0000) [1 per cell]
Pu (0.3333, 0.6667, 0.0000) [1 per cell]
Ge (0.6667, 0.3333, 0.5000) [1 per cell]


# 12
A plane-wave DFT calculation with PBE-GGA was carried out for a relaxed structure of PrNdCuSi.

Polymorph energy (0 for the lowest one) ... 0.34 eV per formula unit
Uncorrected formation energy ... -0.36 eV per atom
M_tot ... 0.000 μB per formula unit

Unit cell a=7.263 b=7.263 c=7.263 alpha=90.00 beta=90.00 gamma=90.00
Space group F-43m (No. 216)
Symmetry-distinct sites (fractional):
Pr (0.000, 0.000, 0.000) [4 per cell]
Nd (0.000, 0.000, 0.500) [4 per cell]
Cu (0.250, 0.250, 0.250) [4 per cell]
Si (0.250, 0.250, 0.750) [4 per cell]


Number 1: calculated total energy -0.051 Ry per atom, volume 110.3 Å³/f.u.. Number 2: calculated total energy -0.388 Ry per atom, volume 119.7 Å³/f.u.. Number 3: calculated total energy -0.392 Ry per atom, volume 145.5 Å³/f.u.. Number 4: calculated total energy -0.339 Ry per atom, volume 136.8 Å³/f.u.. Number 5: calculated total energy -0.353 Ry per atom, volume 241.7 Å³/f.u.. Number 6: calculated total energy -0.419 Ry per atom, volume 265.8 Å³/f.u.. Number 7: calculated total energy -0.418 Ry per atom, volume 157.3 Å³/f.u.. Number 8: calculated total energy -0.621 Ry per atom, volume 123.4 Å³/f.u.. Number 9: calculated total energy -0.617 Ry per atom, volume 67.1 Å³/f.u.. Number 10: calculated total energy -0.288 Ry per atom, volume 115.4 Å³/f.u.. Number 11: calculated total energy -0.630 Ry per atom, volume 67.0 Å³/f.u.. Number 12: calculated total energy -0.377 Ry per atom, volume 95.8 Å³/f.u..